# AgAsPdO

A relaxed AgAsPdO crystal (PBE, the Open Quantum Materials Database).

Polymorph energy (0 for the lowest one) in meV per atom: 0
Raw total energy in eV/atom: -4.56

Cell lengths 3.243, 6.883, 5.927 Å; angles 90.00, 90.00, 90.00 degrees
Fractional positions:
Ag 0.000 0.557 0.379
Ag 0.000 0.443 0.879
As 0.000 0.197 0.375
As 0.000 0.803 0.875
O 0.500 0.793 0.375
O 0.500 0.207 0.875
Pd 0.500 0.999 0.125
Pd 0.500 0.001 0.625